Ce5Hg2Ge2: optimized geometry, PBE-GGA.

Computed properties:
Formation enthalpy at 0 K, meV/atom: -467

abc: 8.993 8.993 7.821
angles: 90.00 90.00 50.94
Atoms (fractional coordinates):
Ce 0.000 0.000 0.000
Ce 0.061 0.685 0.677
Ce 0.185 0.561 0.177
Ce 0.315 0.939 0.677
Ce 0.439 0.815 0.177
Ce 0.500 0.500 0.500
Ce 0.561 0.185 0.823
Ce 0.685 0.061 0.323
Ce 0.815 0.439 0.823
Ce 0.939 0.315 0.323
Hg 0.220 0.220 0.000
Hg 0.280 0.280 0.500
Hg 0.720 0.720 0.500
Hg 0.780 0.780 0.000
Ge 0.118 0.882 0.378
Ge 0.382 0.618 0.878
Ge 0.618 0.382 0.122
Ge 0.882 0.118 0.622